No. 1
The following is a DFT calculation (GGA-PBE) of a relaxed CaCeZn crystal.

Results
Formation energy = 0.1383 eV per atom
DOS at the Fermi energy = 7.03 states/eV/cell
Volume = 27.58 Å³ per atom
Total magnetic moment = 1.28 μB per formula unit
Relative energy among the computed polymorphs = 277 meV/atom
Final energy = -2.932 eV/atom

abc: 5.1997 5.1997 3.5338
angles: 90.00 90.00 120.00
With the nearest neighbours (Å) after each atom.
Space group P3m1 (No. 156)
One atom of each set of equivalent atoms:
1 Ca 0.0000 0.0000 0.0000 x1  3 Zn 3.09, 3 Ce 3.39
2 Ce 0.3333 0.6667 0.4434 x1  3 Zn 3.25, 6 Ca 3.39-3.59, 2 Ce 3.53
3 Zn 0.6667 0.3333 0.7951 x1  3 Ca 3.09, 3 Ce 3.25


No. 2
The following is a DFT calculation (GGA-PBE) of a relaxed Ca5CeZn6 crystal.

Results
Formation energy = -0.2319 eV per atom
DOS at the Fermi energy = 22.79 states/eV/cell
Volume = 24.71 Å³ per atom
Total magnetic moment = 0.77 μB per formula unit
Final energy = -2.197 eV/atom

abc: 5.2097 15.5509 7.3196
angles: 90.00 90.00 90.00
With the nearest neighbours (Å) after each atom.
Space group Cmmm (No. 65)
One atom of each set of equivalent atoms:
1 Ca 0.0000 0.0000 0.0000 x2  8 Zn 3.15-3.24
2 Ca 0.0000 0.3314 0.5000 x4  8 Zn 3.14-3.17
3 Ca 0.0000 0.3349 0.0000 x4  8 Zn 3.20-3.25
4 Ce 0.0000 0.0000 0.5000 x2  8 Zn 3.12-3.13
5 Zn 0.0000 0.1638 0.2543 x8  1 Ce 3.12, 7 Ca 3.15-3.25
6 Zn 0.0000 0.5000 0.2641 x4  2 Ce 3.13, 6 Ca 3.14-3.24, 1 Zn 3.45


No. 3
The following is a DFT calculation (GGA-PBE) of a relaxed CaCeZn2 crystal.

Results
Formation energy = 0.0175 eV per atom
DOS at the Fermi energy = 20.26 states/eV/cell
Volume = 26.23 Å³ per atom
Total magnetic moment = 1.21 μB per formula unit
Final energy = -2.603 eV/atom

abc: 3.6028 3.6028 27.9955
angles: 90.00 90.00 120.00
With the nearest neighbours (Å) after each atom.
Space group R-3m (No. 166, hexagonal axes)
One atom of each set of equivalent atoms:
1 Ca 0.0000 0.0000 0.0000 x3  6 Zn 3.12
2 Ce 0.0000 0.0000 0.5000 x3  6 Zn 3.13
3 Zn 0.0000 0.0000 0.2501 x6  3 Ca 3.12, 3 Ce 3.13


No. 4
The following is a DFT calculation (GGA-PBE) of a relaxed CaCeZn4 crystal.

Results
Formation energy = -0.2160 eV per atom
DOS at the Fermi energy = 21.03 states/eV/cell
Volume = 22.69 Å³ per atom
Total magnetic moment = 1.38 μB per formula unit
Relative energy among the computed polymorphs = 25 meV/atom
Final energy = -2.388 eV/atom

abc: 4.2097 4.2097 15.3649
angles: 90.00 90.00 90.00
With the nearest neighbours (Å) after each atom.
Space group I-4m2 (No. 119)
One atom of each set of equivalent atoms:
1 Ca 0.0000 0.0000 0.0000 x2  12 Zn 3.23-3.33
2 Ce 0.0000 0.5000 0.7500 x2  12 Zn 3.23-3.33
3 Zn 0.0000 0.0000 0.4176 x4  3 Zn 2.48-2.53
4 Zn 0.0000 0.5000 0.1678 x4  3 Zn 2.48-2.53


No. 5
The following is a DFT calculation (GGA-PBE) of a relaxed CaCeZn10 crystal.

Results
Formation energy = -0.2353 eV per atom
DOS at the Fermi energy = 8.73 states/eV/cell
Volume = 17.74 Å³ per atom
Total magnetic moment = 0.65 μB per formula unit
Final energy = -1.958 eV/atom

abc: 4.2622 5.3570 9.3236
angles: 90.00 90.00 90.00
With the nearest neighbours (Å) after each atom.
Space group Pmmm (No. 47)
One atom of each set of equivalent atoms:
1 Ca 0.0000 0.0000 0.0000 x1  6 Zn 3.05-3.08
2 Ce 0.0000 0.5000 0.5000 x1  18 Zn 3.13-3.42
3 Zn 0.0000 0.0000 0.3271 x2  6 Zn 2.61-2.67
4 Zn 0.0000 0.5000 0.1624 x2  6 Zn 2.61-2.65
5 Zn 0.5000 0.0000 0.5000 x1  8 Zn 2.64-2.67
6 Zn 0.5000 0.2554 0.2573 x4  8 Zn 2.61-2.74
7 Zn 0.5000 0.5000 0.0000 x1  8 Zn 2.61-2.73


No. 6
The following is a DFT calculation (GGA-PBE) of a relaxed Ca2CeZn crystal.

Results
Formation energy = 0.2097 eV per atom
DOS at the Fermi energy = 24.77 states/eV/cell
Volume = 31.60 Å³ per atom
Total magnetic moment = 1.61 μB per formula unit
Relative energy among the computed polymorphs = 167 meV/atom
Final energy = -2.593 eV/atom

abc: 3.5384 3.5384 34.9677
angles: 90.00 90.00 120.00
With the nearest neighbours (Å) after each atom.
Space group R-3m (No. 166, hexagonal axes)
One atom of each set of equivalent atoms:
1 Ca 0.0000 0.0000 0.0998 x6  3 Zn 3.11
2 Ce 0.0000 0.0000 0.0000 x3  2 Ca 3.49, 6 Ce 3.54
3 Zn 0.0000 0.0000 0.5000 x3  6 Ca 3.11


Copy entry 5 word for word.
The following is a DFT calculation (GGA-PBE) of a relaxed CaCeZn10 crystal.

Results
Formation energy = -0.2353 eV per atom
DOS at the Fermi energy = 8.73 states/eV/cell
Volume = 17.74 Å³ per atom
Total magnetic moment = 0.65 μB per formula unit
Final energy = -1.958 eV/atom

abc: 4.2622 5.3570 9.3236
angles: 90.00 90.00 90.00
With the nearest neighbours (Å) after each atom.
Space group Pmmm (No. 47)
One atom of each set of equivalent atoms:
1 Ca 0.0000 0.0000 0.0000 x1  6 Zn 3.05-3.08
2 Ce 0.0000 0.5000 0.5000 x1  18 Zn 3.13-3.42
3 Zn 0.0000 0.0000 0.3271 x2  6 Zn 2.61-2.67
4 Zn 0.0000 0.5000 0.1624 x2  6 Zn 2.61-2.65
5 Zn 0.5000 0.0000 0.5000 x1  8 Zn 2.64-2.67
6 Zn 0.5000 0.2554 0.2573 x4  8 Zn 2.61-2.74
7 Zn 0.5000 0.5000 0.0000 x1  8 Zn 2.61-2.73


- What is the formula in the sixth record?
  Ca2CeZn


- Which of these has the lowest volume?
  CaCeZn10


Copy entry 2 word for word.
The following is a DFT calculation (GGA-PBE) of a relaxed Ca5CeZn6 crystal.

Results
Formation energy = -0.2319 eV per atom
DOS at the Fermi energy = 22.79 states/eV/cell
Volume = 24.71 Å³ per atom
Total magnetic moment = 0.77 μB per formula unit
Final energy = -2.197 eV/atom

abc: 5.2097 15.5509 7.3196
angles: 90.00 90.00 90.00
With the nearest neighbours (Å) after each atom.
Space group Cmmm (No. 65)
One atom of each set of equivalent atoms:
1 Ca 0.0000 0.0000 0.0000 x2  8 Zn 3.15-3.24
2 Ca 0.0000 0.3314 0.5000 x4  8 Zn 3.14-3.17
3 Ca 0.0000 0.3349 0.0000 x4  8 Zn 3.20-3.25
4 Ce 0.0000 0.0000 0.5000 x2  8 Zn 3.12-3.13
5 Zn 0.0000 0.1638 0.2543 x8  1 Ce 3.12, 7 Ca 3.15-3.25
6 Zn 0.0000 0.5000 0.2641 x4  2 Ce 3.13, 6 Ca 3.14-3.24, 1 Zn 3.45